No. 1
The following is a PBE calculation of a relaxed Hg3Cl2O2 crystal, from OQMD via LeMat-Bulk.

```
56
Lattice="10.902 0.000 -0.031 0.000 9.464 0.000 -3.799 0.000 11.138" Properties=species:S:1:pos:R:3 pbc="T T T"
Cl 1.490 6.933 6.933
Cl 0.842 5.909 3.492
Cl -0.137 2.473 4.369
Cl 3.390 7.263 1.364
Cl 3.713 2.201 9.744
Cl 2.509 0.355 4.169
Cl 5.612 2.531 4.175
Cl 9.139 7.205 1.169
Cl 6.261 3.556 7.615
Cl 0.610 4.377 9.739
Cl 6.493 5.087 1.369
Cl 8.161 1.177 2.046
Cl 4.593 9.109 6.938
Cl -1.058 8.288 9.061
Cl 7.239 6.991 6.738
Cl -2.036 2.259 9.938
Hg 6.377 5.695 4.228
Hg 0.943 1.035 9.683
Hg 6.159 8.430 1.424
Hg -0.265 8.967 3.077
Hg -2.934 7.832 11.081
Hg 10.037 1.633 0.027
Hg 0.726 3.770 6.879
Hg 4.477 8.502 9.797
Hg -1.035 6.365 5.511
Hg 4.260 5.767 6.993
Hg -2.164 5.230 8.646
Hg 5.459 2.917 1.441
Hg 1.821 4.553 0.833
Hg 9.267 4.235 2.462
Hg 8.138 3.099 5.596
Hg 1.644 6.547 9.666
Hg 3.559 1.815 7.010
Hg -0.079 0.179 6.402
Hg 7.367 0.497 8.031
Hg 7.181 9.285 4.705
Hg 2.843 3.698 4.114
Hg 2.626 0.962 1.310
Hg 3.543 7.649 4.097
Hg 5.282 4.911 10.275
O 4.699 1.055 0.695
O 6.461 9.329 9.812
O 6.033 8.045 3.488
O 8.361 4.868 4.243
O 1.070 1.419 7.620
O 10.084 3.744 0.601
O 2.404 8.410 10.412
O 4.304 5.787 4.843
O 8.185 0.989 6.170
O 2.970 3.313 2.051
O 4.133 6.151 9.057
O -2.981 5.721 10.507
O 0.641 0.136 1.295
O -1.258 4.597 6.864
O 2.799 3.677 6.264
O -1.082 8.476 4.937
```

=====

No. 2
The following is a PBE calculation of a relaxed RbPuAu crystal, from OQMD via LeMat-Bulk.

```
3
Lattice="3.078 -3.711 -2.176 1.189 -4.378 2.720 -2.075 -4.649 -1.434" Properties=species:S:1:pos:R:3 pbc="T T T"
Rb 0.000 0.000 0.000
Pu 0.548 -3.185 -0.223
Au 1.096 -6.369 -0.445
```

Calculated values
The value obtained for the total magnetization is 6.4 μB per cell.

=====

No. 3
The following is a PBE calculation of a relaxed TaCuGeAu crystal, from OQMD via LeMat-Bulk.

```
4
Lattice="-4.103 -1.022 1.601 -2.409 3.126 2.205 -3.684 1.784 -1.919" Properties=species:S:1:pos:R:3 pbc="T T T"
Ta -2.549 0.972 0.472
Cu -7.647 2.916 1.415
Au -5.098 1.944 0.943
Ge 0.000 0.000 0.000
```

Calculated values
The value obtained for the total magnetization is 0.1 μB per cell.

=====

No. 4
The following is a PBE calculation of a relaxed Lu2ZrSc crystal, from OQMD via LeMat-Bulk.

```
4
Lattice="-3.127 -0.638 4.223 1.341 -3.444 3.790 1.565 1.758 4.741" Properties=species:S:1:pos:R:3 pbc="T T T"
Lu 0.000 0.000 0.000
Lu -0.166 -1.742 9.566
Sc -0.110 -1.162 6.377
Zr -0.055 -0.581 3.189
```

Calculated values
The value obtained for the total magnetization is 2.2 μB per cell. The formation energy is 0.7 eV per formula unit.

=====

No. 5
The following is a PBE calculation of a relaxed Rb3PmI6 crystal, from OQMD via LeMat-Bulk.

```
20
Lattice="-7.463 -2.886 -3.548 1.662 -8.573 3.479 0.983 5.801 13.828" Properties=species:S:1:pos:R:3 pbc="T T T"
I -5.590 -5.816 2.459
I -2.219 -2.175 0.185
I -0.510 -6.440 2.742
I -4.309 0.782 11.017
I -4.454 -6.242 10.722
I 0.071 -3.999 9.843
I -2.600 -3.483 13.574
I -3.335 -5.125 6.149
I -1.483 -0.533 7.610
I -4.889 -1.659 3.916
I 0.771 0.159 11.301
I -0.365 0.584 3.037
Rb -3.514 -8.491 4.018
Rb -1.244 -2.913 3.982
Rb -2.901 -5.729 -0.035
Rb -3.240 1.458 5.140
Rb -1.305 2.834 9.741
Rb -3.574 -2.745 9.777
Pm 1.322 -1.386 8.653
Pm 0.000 0.000 0.000
```

Calculated values
The value obtained for the total magnetization is 0.0 μB per cell.

=====

No. 6
The following is a PBE calculation of a relaxed Pr2Sn2O5 crystal, from OQMD via LeMat-Bulk.

```
9
Lattice="9.961 0.000 0.000 0.000 3.820 0.000 0.000 0.000 3.820" Properties=species:S:1:pos:R:3 pbc="T T T"
O 1.252 1.910 0.000
O 8.709 1.910 0.000
O 1.252 0.000 1.910
O 8.709 0.000 1.910
O 4.981 1.910 1.910
Sn 0.000 0.000 0.000
Sn 4.981 0.000 0.000
Pr 2.540 1.910 1.910
Pr 7.421 1.910 1.910
```

Calculated values
The value obtained for the total magnetization is 0.0 μB per cell.

=====

no.,calculated total energy (eV per atom)
1,-2.50
2,-5.61
3,-5.70
4,-5.81
5,-3.18
6,-6.71